GGA-PBE FePb2Cl, optimized geometry; magnetization = 3.22 μB per cell; excess energy over the best structure of this formula in the dataset = 145 meV/atom; mass density = 8.40 g/cm3; crystal system = tetragonal; energy = -4.317 eV/atom; calculated volume = 24.98 A^3/atom; ΔE_f (raw) = 0.1141 eV per atom
1.0
3.2435 0.0000 0.0000
0.0000 3.2435 0.0000
0.0000 0.0000 9.4993
Fe Pb Cl
1 2 1
Cartesian
0.0000 0.0000 0.0000 Fe
0.0000 0.0000 4.9162 Pb
1.6218 1.6218 2.1327 Pb
1.6218 1.6218 8.2402 Cl